Below is an optimized crystal structure of Ba2SbIr, with properties calculated at the PBE level.

**Uncorrected formation energy**: -376 meV/atom
**Electronic total energy**: -4.58 eV per atom

Geometry as CIF:
```
data_Ba2SbIr
_cell_length_a 3.9962
_cell_length_b 5.3251
_cell_length_c 12.3247
_cell_angle_alpha 90.00
_cell_angle_beta 90.00
_cell_angle_gamma 90.00
_space_group_name_H-M_alt 'I m m 2'
_space_group_IT_number 44
loop_
_space_group_symop_operation_xyz
'x,y,z'
'-x,-y,z'
'-x,y,z'
'x,-y,z'
'x+1/2,y+1/2,z+1/2'
'-x+1/2,-y+1/2,z+1/2'
'-x+1/2,y+1/2,z+1/2'
'x+1/2,-y+1/2,z+1/2'
loop_
_atom_site_label
_atom_site_type_symbol
_atom_site_fract_x
_atom_site_fract_y
_atom_site_fract_z
Ba1 Ba 0.0000 0.0000 0.0000
Ba2 Ba 0.0000 0.5000 0.2022
Sb1 Sb 0.0000 0.5000 0.8112
Ir1 Ir 0.0000 0.0000 0.4491
```